Below is a relaxed HfCuMoO6 crystal, with properties calculated at the PBE with a Hubbard U level. Values from VASP.

Cell and atoms, written as Quantum ESPRESSO input:
```
&SYSTEM
  ibrav = 0, nat = 18, ntyp = 4
/
ATOMIC_SPECIES
Hf 178.49 Hf.upf
Cu 63.55 Cu.upf
Mo 95.94 Mo.upf
O 16.00 O.upf
CELL_PARAMETERS angstrom
5.251 0.000 0.000
-2.626 4.548 0.000
0.000 0.000 8.891
ATOMIC_POSITIONS crystal
Hf 0.333 0.667 0.250
Hf 0.667 0.333 0.750
Cu 0.000 0.000 0.000
Cu 0.000 0.000 0.500
Mo 0.333 0.667 0.750
Mo 0.667 0.333 0.250
O 0.019 0.357 0.631
O 0.019 0.662 0.869
O 0.338 0.357 0.869
O 0.338 0.981 0.631
O 0.357 0.019 0.131
O 0.357 0.338 0.369
O 0.643 0.662 0.631
O 0.643 0.981 0.869
O 0.662 0.019 0.369
O 0.662 0.643 0.131
O 0.981 0.338 0.131
O 0.981 0.643 0.369
```

Values from the calculation:
The calculation puts the calculated total energy at -134.483 eV for the cell shown. Its space-group type is No. 163. For the volume, the calculation gives 11.797 Å³ per atom.